Record 1
A relaxed structure of RbZnHO2, computed with PBE-GGA.

Lattice parameters (Å, degrees): 5.929 4.221 5.804 90.00 106.50 90.00
Space group P2/c (No. 13)
Symmetry-distinct sites (fractional):
Rb1 0.000 0.221 0.250 (multiplicity 2)
Zn1 0.500 0.485 0.750 (multiplicity 2)
H1 0.500 0.000 0.000 (multiplicity 2)
O1 0.356 0.226 0.963 (multiplicity 4)

## Properties
Crystal system: monoclinic
Total magnetic moment, μB per atom: 0.0000
DFT total energy, eV/atom: -4.3268
D(E_F), states/eV/cell: 0.000


Record 2
A relaxed structure of RbZr2HO, computed with PBE-GGA.

Lattice parameters (Å, degrees): 4.244 4.244 9.291 90.00 90.00 90.00
Space group P4/mmm (No. 123)
Symmetry-distinct sites (fractional):
Rb1 0.000 0.000 0.000 (multiplicity 1)
Zr1 0.000 0.500 0.500 (multiplicity 2)
H1 0.500 0.500 0.000 (multiplicity 1)
O1 0.000 0.000 0.500 (multiplicity 1)

## Properties
Crystal system: tetragonal
Total magnetic moment, μB per atom: 0.0000
DFT total energy, eV/atom: -5.5279
D(E_F), states/eV/cell: 5.944


Record 3
A relaxed structure of Re2HO, computed with PBE-GGA.

Lattice parameters (Å, degrees): 5.486 5.486 5.486 90.00 90.00 90.00
Space group Fm-3m (No. 225)
Symmetry-distinct sites (fractional):
Re1 0.250 0.250 0.250 (multiplicity 8)
H1 0.000 0.000 0.000 (multiplicity 4)
O1 0.000 0.000 0.500 (multiplicity 4)

## Properties
Crystal system: cubic
Total magnetic moment, μB per atom: 0.0000
DFT total energy, eV/atom: -7.2253
Excess energy over the best structure of this formula in the dataset, meV per atom: 818
D(E_F), states/eV/cell: 21.476


Record 4
A relaxed structure of ReH3O5, computed with PBE-GGA.

Lattice parameters (Å, degrees): 6.508 6.563 7.034 62.26 68.74 87.37
Space group P-1 (No. 2)
Symmetry-distinct sites (fractional):
Re1 0.153 0.381 0.248 (multiplicity 2)
H1 0.263 0.165 0.911 (multiplicity 2)
H2 0.314 0.142 0.666 (multiplicity 2)
H3 0.331 0.915 0.908 (multiplicity 2)
O1 0.113 0.588 0.601 (multiplicity 2)
O2 0.130 0.248 0.087 (multiplicity 2)
O3 0.271 0.202 0.447 (multiplicity 2)
O4 0.319 0.656 0.058 (multiplicity 2)
O5 0.351 0.093 0.810 (multiplicity 2)

## Properties
Crystal system: triclinic
Total magnetic moment, μB per atom: 0.0067
DFT total energy, eV/atom: -6.5679
Excess energy over the best structure of this formula in the dataset, meV per atom: 0
D(E_F), states/eV/cell: 0.000


Record 5
A relaxed structure of Re3HO, computed with PBE-GGA.

Lattice parameters (Å, degrees): 3.894 3.894 3.894 90.00 90.00 90.00
Space group Pm-3m (No. 221)
Symmetry-distinct sites (fractional):
Re1 0.000 0.000 0.500 (multiplicity 3)
H1 0.000 0.000 0.000 (multiplicity 1)
O1 0.500 0.500 0.500 (multiplicity 1)

## Properties
Crystal system: cubic
Total magnetic moment, μB per atom: 0.0000
DFT total energy, eV/atom: -7.9730
Excess energy over the best structure of this formula in the dataset, meV per atom: 0
D(E_F), states/eV/cell: 6.285


Record 6
A relaxed structure of ReH2O, computed with PBE-GGA.

Lattice parameters (Å, degrees): 4.806 4.806 4.806 90.00 90.00 90.00
Space group Fm-3m (No. 225)
Symmetry-distinct sites (fractional):
Re1 0.000 0.000 0.000 (multiplicity 4)
H1 0.250 0.250 0.250 (multiplicity 8)
O1 0.000 0.000 0.500 (multiplicity 4)

## Properties
Crystal system: cubic
Total magnetic moment, μB per atom: 0.3680
DFT total energy, eV/atom: -5.2082
Excess energy over the best structure of this formula in the dataset, meV per atom: 903
D(E_F), states/eV/cell: 6.661


Record 7
A relaxed structure of ReH3O5, computed with PBE-GGA.

Lattice parameters (Å, degrees): 6.415 7.098 7.117 73.51 77.41 63.95
Space group P1 (No. 1)
Symmetry-distinct sites (fractional):
Re1 0.000 0.000 0.000 (multiplicity 1)
Re2 0.188 0.327 0.387 (multiplicity 1)
H1 0.128 0.623 0.974 (multiplicity 1)
H2 0.401 0.562 0.567 (multiplicity 1)
H3 0.409 0.803 0.537 (multiplicity 1)
H4 0.505 0.208 0.986 (multiplicity 1)
H5 0.564 0.980 0.953 (multiplicity 1)
H6 0.655 0.578 0.521 (multiplicity 1)
O1 0.008 0.765 0.917 (multiplicity 1)
O2 0.276 0.049 0.467 (multiplicity 1)
O3 0.291 0.385 0.137 (multiplicity 1)
O4 0.291 0.895 0.044 (multiplicity 1)
O5 0.300 0.425 0.522 (multiplicity 1)
O6 0.490 0.642 0.591 (multiplicity 1)
O7 0.621 0.095 0.917 (multiplicity 1)
O8 0.846 0.050 0.226 (multiplicity 1)
O9 0.884 0.462 0.403 (multiplicity 1)
O10 0.961 0.238 0.827 (multiplicity 1)

## Properties
Crystal system: triclinic
Total magnetic moment, μB per atom: 0.0053
DFT total energy, eV/atom: -6.5354
Excess energy over the best structure of this formula in the dataset, meV per atom: 32
D(E_F), states/eV/cell: 0.000


Record 8
A relaxed structure of ReH3O5, computed with PBE-GGA.

Lattice parameters (Å, degrees): 6.411 6.610 7.021 63.68 64.35 86.31
Space group P1 (No. 1)
Symmetry-distinct sites (fractional):
Re1 0.000 0.000 0.000 (multiplicity 1)
Re2 0.274 0.743 0.506 (multiplicity 1)
H1 0.387 0.520 0.164 (multiplicity 1)
H2 0.428 0.486 0.924 (multiplicity 1)
H3 0.455 0.271 0.159 (multiplicity 1)
H4 0.547 0.101 0.650 (multiplicity 1)
H5 0.792 0.187 0.643 (multiplicity 1)
H6 0.813 0.145 0.414 (multiplicity 1)
O1 0.264 0.625 0.330 (multiplicity 1)
O2 0.292 0.979 0.834 (multiplicity 1)
O3 0.379 0.559 0.706 (multiplicity 1)
O4 0.450 0.015 0.323 (multiplicity 1)
O5 0.473 0.443 0.059 (multiplicity 1)
O6 0.713 0.193 0.541 (multiplicity 1)
O7 0.832 0.731 0.166 (multiplicity 1)
O8 0.891 0.186 0.804 (multiplicity 1)
O9 0.989 0.107 0.194 (multiplicity 1)
O10 0.991 0.776 0.669 (multiplicity 1)

## Properties
Crystal system: triclinic
Total magnetic moment, μB per atom: 0.0000
DFT total energy, eV/atom: -6.5628
Excess energy over the best structure of this formula in the dataset, meV per atom: 5
D(E_F), states/eV/cell: 0.000